[1]
Below is crystalline Pm3Te5Se12 at its relaxed geometry, with properties calculated at the PBE level.

a b c (Å): 17.1332 17.1332 17.1332
angles (deg): 90.00 90.00 90.00
Last column: nearest neighbours and their distance in Å.
Space group Ia-3d (No. 230)
Asymmetric unit:
Pm  0.0000  0.2500  0.1250 x24  8 Se 3.05-3.16
Te  0.0000  0.0000  0.0000 x16  6 Se 2.91
Te  0.0000  0.2500  0.3750 x24  4 Se 2.81
Se  0.0095  0.0684  0.6554 x96  2 Te 2.81-2.91, 1 Pm 3.05

VASP energy	-653.4	eV/cell
total magnetization	0.00	Bohr magnetons per cell



[2]
Below is crystalline SrAlCd2 at its relaxed geometry, with properties calculated at the PBE level.

a b c (Å): 3.7510 4.9401 5.9729
angles (deg): 90.00 90.00 90.00
Last column: nearest neighbours and their distance in Å.
Space group Pmmm (No. 47)
Asymmetric unit:
Sr  0.0000  0.0000  0.0000 x1  8 Cd 3.46, 4 Al 3.53, 2 Sr 3.75
Al  0.5000  0.0000  0.5000 x1  4 Cd 2.87
Cd  0.5000  0.5000  0.2550 x2  2 Al 2.87, 2 Cd 2.93-3.05

energy of formation	-0.1032	eV per atom
VASP energy	-7.7	eV/cell
total magnetization	0.00	Bohr magnetons per cell



[3]
Below is crystalline Sc4AgOs at its relaxed geometry, with properties calculated at the PBE level.

a b c (Å): 7.7588 7.7588 7.7588
angles (deg): 90.00 90.00 90.00
Last column: nearest neighbours and their distance in Å.
Space group F-43m (No. 216)
Asymmetric unit:
Sc  0.1230  0.1230  0.3770 x16  6 Sc 2.70-2.79
Ag  0.0000  0.0000  0.0000 x4  12 Sc 3.22, 4 Os 3.36
Os  0.2500  0.2500  0.7500 x4  12 Sc 3.21, 4 Ag 3.36

energy of formation	0.4863	eV per atom
VASP energy	-146.0	eV/cell
energy above the most stable polymorph in this dataset	720	meV/atom
total magnetization	0.01	Bohr magnetons per cell



[4]
Below is crystalline Nd2PuZrAs4 at its relaxed geometry, with properties calculated at the PBE level.

a b c (Å): 7.1313 4.1242 7.1590
angles (deg): 90.00 109.21 90.00
Last column: nearest neighbours and their distance in Å.
Space group P2/m (No. 10)
Asymmetric unit:
Nd  0.0000  0.0000  0.0000 x1  6 As 3.02
Nd  0.5000  0.5000  0.0000 x1  6 As 2.96-2.97
Pu  0.0000  0.5000  0.5000 x1  6 As 2.87-2.88
Zr  0.5000  0.0000  0.5000 x1  6 As 2.80-2.82
As  0.2519  0.0000  0.7332 x2  1 Zr 2.80, 2 Pu 2.88, 3 Nd 2.97-3.02
As  0.2633  0.5000  0.2703 x2  2 Zr 2.82, 1 Pu 2.87, 3 Nd 2.96-3.02

energy of formation	-1.2918	eV per atom
VASP energy	-61.3	eV/cell
total magnetization	5.21	Bohr magnetons per cell



[5]
Below is crystalline TaSbP2 at its relaxed geometry, with properties calculated at the PBE level.

a b c (Å): 8.5018 3.4424 6.0521
angles (deg): 90.00 93.42 90.00
Last column: nearest neighbours and their distance in Å.
Space group Cm (No. 8)
Asymmetric unit:
Ta  0.0000  0.0000  0.0000 x2  5 P 2.49-2.53
Sb  0.1805  0.5000  0.6994 x2  3 P 2.73-2.95, 2 Ta 2.99
P  0.0137  0.5000  0.2989 x2  1 P 2.24, 2 Ta 2.49
P  0.2968  0.0000  0.0708 x2  1 P 2.24, 2 Ta 2.49

VASP energy	-54.7	eV/cell
total magnetization	0.00	Bohr magnetons per cell



[6]
Below is crystalline AlTlSe2Br at its relaxed geometry, with properties calculated at the PBE level.

a b c (Å): 5.3852 5.3852 5.7625
angles (deg): 90.00 90.00 90.00
Last column: nearest neighbours and their distance in Å.
Space group P4/mmm (No. 123)
Asymmetric unit:
Al  0.0000  0.0000  0.0000 x1  4 Br 3.81, 8 Se 3.94
Tl  0.5000  0.5000  0.5000 x1  4 Se 2.69, 2 Br 2.88
Se  0.0000  0.5000  0.5000 x2  2 Tl 2.69
Br  0.5000  0.5000  0.0000 x1  2 Tl 2.88

VASP energy	-13.1	eV/cell
energy above the most stable polymorph in this dataset	771	meV/atom
total magnetization	0.27	Bohr magnetons per cell



[7]
Below is crystalline Zr2WSe at its relaxed geometry, with properties calculated at the PBE level.

a b c (Å): 3.4393 3.4393 6.5991
angles (deg): 90.00 90.00 90.00
Last column: nearest neighbours and their distance in Å.
Space group P4/mmm (No. 123)
Asymmetric unit:
Zr  0.0000  0.0000  0.2368 x2  4 W 2.89, 4 Se 2.99, 1 Zr 3.13
W  0.5000  0.5000  0.0000 x1  8 Zr 2.89
Se  0.5000  0.5000  0.5000 x1  8 Zr 2.99, 2 W 3.30

VASP energy	-35.1	eV/cell
total magnetization	0.00	Bohr magnetons per cell



[8]
Below is crystalline TePt3 at its relaxed geometry, with properties calculated at the PBE level.

a b c (Å): 3.5574 3.5574 5.6085
angles (deg): 90.00 90.00 90.00
Last column: nearest neighbours and their distance in Å.
Space group P4/mmm (No. 123)
Asymmetric unit:
Te  0.0000  0.0000  0.0000 x1  10 Pt 2.80-2.90
Pt  0.0000  0.0000  0.5000 x1  2 Te 2.80, 8 Pt 2.86
Pt  0.5000  0.5000  0.2561 x2  6 Pt 2.74-2.87, 4 Te 2.90

VASP energy	-21.1	eV/cell
total magnetization	0.00	Bohr magnetons per cell